15
Lattice="-0.972 4.100 -0.229 -3.858 -1.630 0.518 3.769 -0.162 13.313" Properties=species:S:1:pos:R:3 comment="La4DyC10 (SCAN, single point on PBEsol structure)" volume_a3_per_atom=15.87 space_group="No. 69" formation_enthalpy_0k_ev_per_atom=-0.28 pbc="T T T"
La 1.087 0.861 10.805
La -1.600 1.881 8.247
La 0.539 0.427 5.355
La -2.148 1.447 2.797
Dy 0.000 0.000 0.000
C -3.311 -0.851 3.005
C -1.585 2.239 5.445
C 1.102 1.219 8.007
C -2.123 1.815 0.069
C -0.058 -1.421 11.194
C -2.164 1.089 5.595
C 0.523 0.070 8.157
C 2.249 3.159 10.597
C -1.004 3.730 2.408
C -2.707 0.656 0.220

---

4
Lattice="3.704 0.000 0.000 0.000 3.704 0.000 0.000 0.000 7.106" Properties=species:S:1:pos:R:3 comment="AlCdBr2 (SCAN, single point on PBEsol structure)" raw_formation_energy_ev_per_fu=-0.35 relative_energy_mev_per_atom=449 volume_a3_per_atom=24.38 space_group="No. 123" pbc="T T T"
Al 1.852 1.852 3.553
Br 0.000 0.000 5.334
Br 0.000 0.000 1.772
Cd 1.852 1.852 0.000

---

6
Lattice="-2.801 -0.102 0.344 0.909 -2.201 -4.841 0.711 -5.124 4.263" Properties=species:S:1:pos:R:3 comment="LiAu2 (SCAN, single point on PBEsol structure)" volume_a3_per_atom=15.91 space_group="No. 8" formation_enthalpy_0k_ev_per_atom=-0.40 pbc="T T T"
Au -1.871 -2.358 -4.345
Au 0.146 -4.923 -0.273
Au -1.346 -2.514 -0.114
Au -0.994 -4.216 2.242
Li -1.563 -4.151 -2.373
Li -0.235 -1.401 -2.331

---

5
Lattice="-2.734 -0.034 -3.512 1.631 -3.954 -1.231 -3.110 -2.043 2.441" Properties=species:S:1:pos:R:3 comment="InPW3 (SCAN, single point on PBEsol structure)" volume_a3_per_atom=17.63 space_group="No. 221" formation_enthalpy_0k_ev_per_atom=0.93 pbc="T T T"
P 0.000 0.000 0.000
W 0.815 -1.977 -0.616
W -1.555 -1.022 1.220
W -1.367 -0.017 -1.756
In -2.107 -3.015 -1.151

---

4
Lattice="-0.198 3.073 0.061 -1.003 1.429 2.538 9.997 2.096 4.640" Properties=species:S:1:pos:R:3 comment="BaScTa2 (SCAN, single point on PBEsol structure)" relative_energy_mev_per_atom=31 volume_a3_per_atom=22.76 space_group="No. 166" formation_enthalpy_0k_ev_per_atom=0.90 pbc="T T T"
Ba 4.398 3.299 3.619
Sc 0.000 0.000 0.000
Ta 1.895 1.632 1.699
Ta 6.901 4.966 5.539

---

4
Lattice="-2.282 1.041 2.666 -2.643 -3.636 -0.842 5.357 -1.646 2.715" Properties=species:S:1:pos:R:3 comment="Sb2PtSe (SCAN, single point on PBEsol structure)" raw_formation_energy_ev_per_fu=-0.18 volume_a3_per_atom=23.00 space_group="No. 44" pbc="T T T"
Pt 0.111 -3.275 1.374
Sb 0.031 -3.833 4.036
Sb 0.278 -0.922 3.111
Se -2.018 -1.750 1.469

---

For reference, M_tot by record: 0.00 0.00 0.00 0.00 0.00 0.00 μB per cell.